w.
First-principles (PBE) data for crystalline YNiOs at its relaxed geometry, as listed in the Alexandria database.

Cell lengths 2.896, 2.896, 6.953 Å; angles 90.00, 90.00, 120.00 degrees
Atoms (fractional coordinates):
Ni 0.000 0.000 0.025
Os 0.667 0.333 0.302
Y 0.333 0.667 0.673

Values from the calculation:
Its space group is P3m1 (156).

x.
First-principles (PBE) data for crystalline YNiOs at its relaxed geometry, as listed in the Alexandria database.

Cell lengths 4.947, 4.947, 6.183 Å; angles 81.91, 128.09, 113.87 degrees
Atoms (fractional coordinates):
Os 0.244 0.997 0.241
Y 0.769 0.357 0.126
Os 0.756 0.003 0.759
Y 0.231 0.643 0.874
Ni 0.000 0.000 0.500
Ni 0.500 0.500 0.500

Values from the calculation:
Its space group is C2/m (12).

Winner for stability: x

w.
First-principles (PBE) data for crystalline K2FeMo at its relaxed geometry, as listed in the Alexandria database.

Cell lengths 5.836, 5.836, 5.836 Å; angles 60.00, 60.00, 60.00 degrees
Site moments in Bohr magnetons follow the coordinates.
Atoms (fractional coordinates):
Mo 0.500 0.500 0.500  3.84
K 0.750 0.750 0.750  0.03
K 0.250 0.250 0.250  0.03
Fe 0.000 0.000 0.000  -3.13

Values from the calculation:
Its space group is Fm-3m (225).

x.
First-principles (PBE) data for crystalline K2FeMo at its relaxed geometry, as listed in the Alexandria database.

Cell lengths 6.588, 6.588, 2.743 Å; angles 90.00, 90.00, 90.00 degrees
Site moments in Bohr magnetons follow the coordinates.
Atoms (fractional coordinates):
Mo 0.500 0.000 0.500  2.25
K 0.000 0.000 0.000  0.02
K 0.500 0.500 0.000  0.02
Fe 0.000 0.500 0.500  3.11

Values from the calculation:
Its space group is P4/mmm (123).

Winner for stability: x

w.
First-principles (PBE) data for crystalline InWBr2 at its relaxed geometry, as listed in the Alexandria database.

Cell lengths 3.454, 3.454, 10.031 Å; angles 90.00, 90.00, 122.87 degrees
Site moments in Bohr magnetons follow the coordinates.
Atoms (fractional coordinates):
W 0.500 0.500 0.745  0.69
Br 0.000 0.000 0.939  0.03
Br 0.500 0.500 0.300  -0.01
In 0.000 0.000 0.517  -0.01

Values from the calculation:
Its space group is Cmm2 (35).

x.
First-principles (PBE) data for crystalline InWBr2 at its relaxed geometry, as listed in the Alexandria database.

Cell lengths 7.569, 7.569, 7.569 Å; angles 156.28, 143.36, 44.12 degrees
Atoms (fractional coordinates):
Br 0.760 0.260 0.500
Br 0.089 0.089 0.000
W 0.235 0.735 0.500
In 0.416 0.416 0.000

Values from the calculation:
Its space group is Imm2 (44).

Winner for stability: w